This record from Alexandria via LeMat-Bulk describes a relaxed K2SiSe crystal. The functional is GGA-PBEsol. Values from VASP.

Structure (Quantum ESPRESSO input):
```
&SYSTEM
  ibrav = 0, nat = 4, ntyp = 3
/
ATOMIC_SPECIES
K 39.10 K.upf
Se 78.96 Se.upf
Si 28.09 Si.upf
CELL_PARAMETERS angstrom
-0.382 3.454 -2.730
-2.954 1.831 2.730
5.436 -0.264 2.482
ATOMIC_POSITIONS crystal
K 0.750 0.250 0.500
Se 0.000 0.000 0.000
Si 0.500 0.500 0.000
K 0.250 0.750 0.500
```

Computed properties:
ΔE_f (raw) in meV/atom: -107

---

This record from Alexandria via LeMat-Bulk describes a relaxed KSiSe2 crystal. The functional is GGA-PBEsol. Values from VASP.

Structure (Quantum ESPRESSO input):
```
&SYSTEM
  ibrav = 0, nat = 8, ntyp = 3
/
ATOMIC_SPECIES
Se 78.96 Se.upf
Si 28.09 Si.upf
K 39.10 K.upf
CELL_PARAMETERS angstrom
6.975 0.000 0.000
-3.488 6.389 -0.003
0.000 3.810 5.843
ATOMIC_POSITIONS crystal
Se 0.875 0.250 0.518
Se 0.232 0.750 0.875
Si 0.250 0.500 0.250
Si 0.500 0.000 0.500
K 0.000 0.000 0.000
Se 0.518 0.750 0.375
K 0.750 0.500 0.750
Se 0.375 0.250 0.232
```

Computed properties:
ΔE_f (raw) in meV/atom: -517

---

This record from Alexandria via LeMat-Bulk describes a relaxed KSiSe2 crystal. The functional is GGA-PBEsol. Values from VASP.

Structure (Quantum ESPRESSO input):
```
&SYSTEM
  ibrav = 0, nat = 4, ntyp = 3
/
ATOMIC_SPECIES
Si 28.09 Si.upf
K 39.10 K.upf
Se 78.96 Se.upf
CELL_PARAMETERS angstrom
3.859 0.000 0.000
0.000 4.767 0.000
0.000 0.000 4.767
ATOMIC_POSITIONS crystal
Si 0.500 0.500 0.500
K 0.500 0.000 0.000
Se 0.000 0.500 0.000
Se 0.000 0.000 0.500
```

Computed properties:
ΔE_f (raw) in meV/atom: -19

---

This record from Alexandria via LeMat-Bulk describes a relaxed KSi2Se crystal. The functional is GGA-PBEsol. Values from VASP.

Structure (Quantum ESPRESSO input):
```
&SYSTEM
  ibrav = 0, nat = 4, ntyp = 3
/
ATOMIC_SPECIES
Se 78.96 Se.upf
K 39.10 K.upf
Si 28.09 Si.upf
CELL_PARAMETERS angstrom
2.888 0.033 0.000
-0.032 2.888 0.000
0.000 0.000 10.051
ATOMIC_POSITIONS crystal
Se 0.500 0.500 0.736
K 0.000 0.000 0.490
Si 0.500 0.500 0.220
Si 0.000 0.000 0.055
```

Computed properties:
ΔE_f (raw) in meV/atom: 219

---

This record from Alexandria via LeMat-Bulk describes a relaxed KSi2Se crystal. The functional is GGA-PBEsol. Values from VASP.

Structure (Quantum ESPRESSO input):
```
&SYSTEM
  ibrav = 0, nat = 4, ntyp = 3
/
ATOMIC_SPECIES
Se 78.96 Se.upf
K 39.10 K.upf
Si 28.09 Si.upf
CELL_PARAMETERS angstrom
-2.875 -1.213 -1.937
-1.530 -1.291 3.079
-3.115 5.902 0.927
ATOMIC_POSITIONS crystal
Se 0.500 0.500 0.197
K 0.000 0.000 0.489
Si 0.500 0.500 0.853
Si 0.000 0.000 0.960
```

Computed properties:
ΔE_f (raw) in meV/atom: 36

---

This record from Alexandria via LeMat-Bulk describes a relaxed KSi2Se crystal. The functional is GGA-PBEsol. Values from VASP.

Structure (Quantum ESPRESSO input):
```
&SYSTEM
  ibrav = 0, nat = 4, ntyp = 3
/
ATOMIC_SPECIES
Si 28.09 Si.upf
Se 78.96 Se.upf
K 39.10 K.upf
CELL_PARAMETERS angstrom
-1.811 0.940 1.717
-2.168 -5.306 0.618
4.519 1.731 3.821
ATOMIC_POSITIONS crystal
Si 0.000 0.500 0.500
Se 0.500 0.500 0.000
Si 0.000 0.000 0.500
K 0.500 0.000 0.000
```

Computed properties:
ΔE_f (raw) in meV/atom: 416

---

This record from Alexandria via LeMat-Bulk describes a relaxed KSmSe2 crystal. The functional is GGA-PBEsol. Values from VASP.

Structure (Quantum ESPRESSO input):
```
&SYSTEM
  ibrav = 0, nat = 4, ntyp = 3
/
ATOMIC_SPECIES
Se 78.96 Se.upf
Sm 150.36 Sm.upf
K 39.10 K.upf
CELL_PARAMETERS angstrom
4.227 0.000 0.000
2.113 3.660 0.000
2.113 1.220 7.568
ATOMIC_POSITIONS crystal
Se 0.237 0.237 0.290
Sm 0.500 0.500 0.500
K 0.000 0.000 0.000
Se 0.763 0.763 0.710
```

Computed properties:
ΔE_f (raw) in meV/atom: -1743

---

This record from Alexandria via LeMat-Bulk describes a relaxed KSnSe3 crystal. The functional is GGA-PBEsol. Values from VASP.

Structure (Quantum ESPRESSO input):
```
&SYSTEM
  ibrav = 0, nat = 5, ntyp = 3
/
ATOMIC_SPECIES
Se 78.96 Se.upf
K 39.10 K.upf
Sn 118.71 Sn.upf
CELL_PARAMETERS angstrom
5.399 0.000 0.000
0.000 5.399 0.000
0.000 0.000 5.399
ATOMIC_POSITIONS crystal
Se 0.000 0.000 0.500
Se 0.500 0.000 0.000
K 0.000 0.000 0.000
Se 0.000 0.500 0.000
Sn 0.500 0.500 0.500
```

Computed properties:
ΔE_f (raw) in meV/atom: 779

---

This record from Alexandria via LeMat-Bulk describes a relaxed K4Sn3Se8 crystal. The functional is GGA-PBEsol. Values from VASP.

Structure (Quantum ESPRESSO input):
```
&SYSTEM
  ibrav = 0, nat = 30, ntyp = 3
/
ATOMIC_SPECIES
Se 78.96 Se.upf
K 39.10 K.upf
Sn 118.71 Sn.upf
CELL_PARAMETERS angstrom
8.113 0.000 0.000
0.000 8.137 0.000
0.000 4.069 13.889
ATOMIC_POSITIONS crystal
Se 0.166 0.605 0.122
K 0.500 0.266 0.468
Se 0.314 0.641 0.346
Se 0.814 0.487 0.654
Sn 0.500 0.874 0.253
Sn 0.000 0.374 0.253
Se 0.186 0.859 0.654
K 0.500 0.606 0.788
Se 0.834 0.272 0.122
Se 0.666 0.228 0.878
Sn 0.500 0.126 0.747
Se 0.666 0.772 0.122
Se 0.686 0.013 0.346
Sn 0.000 0.626 0.747
Se 0.166 0.395 0.878
K 0.500 0.734 0.532
K 0.000 0.766 0.468
Se 0.314 0.359 0.654
Sn 0.500 0.000 0.000
Se 0.334 0.895 0.878
Se 0.834 0.728 0.878
Se 0.686 0.987 0.654
Sn 0.000 0.500 0.000
Se 0.334 0.105 0.122
K 0.500 0.394 0.212
K 0.000 0.234 0.532
K 0.000 0.106 0.788
Se 0.186 0.141 0.346
K 0.000 0.894 0.212
Se 0.814 0.513 0.346
```

Computed properties:
ΔE_f (raw) in meV/atom: -767

---

This record from Alexandria via LeMat-Bulk describes a relaxed K2ZnSn2Se6 crystal. The functional is GGA-PBEsol. Values from VASP.

Structure (Quantum ESPRESSO input):
```
&SYSTEM
  ibrav = 0, nat = 44, ntyp = 4
/
ATOMIC_SPECIES
Se 78.96 Se.upf
K 39.10 K.upf
Sn 118.71 Sn.upf
Zn 65.41 Zn.upf
CELL_PARAMETERS angstrom
8.129 0.000 0.000
0.000 8.129 0.000
0.000 0.000 19.459
ATOMIC_POSITIONS crystal
Se 0.167 0.167 0.250
K 0.000 0.500 0.824
Se 0.682 0.342 0.920
Sn 0.500 0.500 0.839
Se 0.658 0.318 0.580
Se 0.318 0.342 0.420
Se 0.667 0.667 0.750
Se 0.667 0.333 0.250
Sn 0.500 0.500 0.661
Se 0.842 0.818 0.920
Se 0.342 0.682 0.580
Sn 0.500 0.500 0.161
Sn 0.000 0.000 0.839
Zn 0.500 0.500 0.000
K 0.000 0.500 0.526
K 0.000 0.500 0.026
Sn 0.000 0.000 0.161
K 0.500 0.000 0.676
Se 0.818 0.842 0.580
Zn 0.000 0.000 0.500
Sn 0.000 0.000 0.339
Se 0.318 0.658 0.920
Zn 0.000 0.000 0.000
Se 0.158 0.182 0.920
Sn 0.500 0.500 0.339
Se 0.833 0.167 0.750
K 0.500 0.000 0.974
Se 0.333 0.333 0.750
Se 0.158 0.818 0.420
Se 0.833 0.833 0.250
Se 0.333 0.667 0.250
Se 0.182 0.158 0.580
Se 0.682 0.658 0.420
Se 0.818 0.158 0.080
K 0.500 0.000 0.474
Se 0.658 0.682 0.080
Zn 0.500 0.500 0.500
Se 0.842 0.182 0.420
K 0.500 0.000 0.176
Sn 0.000 0.000 0.661
Se 0.167 0.833 0.750
Se 0.342 0.318 0.080
K 0.000 0.500 0.324
Se 0.182 0.842 0.080
```

Computed properties:
ΔE_f (raw) in meV/atom: -693

---

This record from Alexandria via LeMat-Bulk describes a relaxed KSr2Se crystal. The functional is GGA-PBEsol. Values from VASP.

Structure (Quantum ESPRESSO input):
```
&SYSTEM
  ibrav = 0, nat = 4, ntyp = 3
/
ATOMIC_SPECIES
Sr 87.62 Sr.upf
Se 78.96 Se.upf
K 39.10 K.upf
CELL_PARAMETERS angstrom
5.152 0.000 0.000
0.000 5.152 0.000
-2.576 -2.576 5.545
ATOMIC_POSITIONS crystal
Sr 0.750 0.250 0.500
Se 0.000 0.000 0.000
K 0.500 0.500 0.000
Sr 0.250 0.750 0.500
```

Computed properties:
ΔE_f (raw) in meV/atom: -375

---

This record from Alexandria via LeMat-Bulk describes a relaxed K3SrSe crystal. The functional is GGA-PBEsol. Values from VASP.

Structure (Quantum ESPRESSO input):
```
&SYSTEM
  ibrav = 0, nat = 5, ntyp = 3
/
ATOMIC_SPECIES
Se 78.96 Se.upf
Sr 87.62 Sr.upf
K 39.10 K.upf
CELL_PARAMETERS angstrom
-4.571 4.909 2.430
-3.961 -5.149 2.950
3.784 0.541 6.024
ATOMIC_POSITIONS crystal
Se 0.500 0.500 0.500
Sr 0.000 0.000 0.000
K 0.000 0.500 0.000
K 0.500 0.000 0.000
K 0.000 0.000 0.500
```

Computed properties:
ΔE_f (raw) in meV/atom: 596